[1]
DFT (PBE) results for an optimized crystal structure of Nd12DyTm2.

Structure (CIF):
```
data_Nd12DyTm2
_chemical_formula_sum 'Nd48 Dy4 Tm8'
_symmetry_space_group_name_H-M 'C m m e'
_symmetry_Int_Tables_number 67
_symmetry_space_group_name_Hall '-C 2a 2'
_cell_length_a 7.196
_cell_length_b 11.627
_cell_length_c 24.979
_cell_angle_alpha 90.00
_cell_angle_beta 90.00
_cell_angle_gamma 90.00
loop_
_atom_site_label
_atom_site_type_symbol
_atom_site_fract_x
_atom_site_fract_y
_atom_site_fract_z
Nd1 Nd 0.000 0.002 0.073
Nd2 Nd 0.000 0.023 0.560
Nd3 Nd 0.231 0.250 0.413
Nd4 Nd 0.249 0.250 0.869
Nd5 Nd 0.250 0.000 0.198
Nd6 Nd 0.250 0.000 0.324
Dy1 Dy 0.000 0.250 0.999
Tm1 Tm 0.000 0.250 0.266
Tm2 Tm 0.000 0.250 0.730
```

Results
Energy = -273.49 eV/cell
Volume = 2089.9 Å³ per cell
Magnetic moment = 0.00 μB/f.u.
ρ = 7.09 g/cm³

***

[2]
DFT (PBE) results for an optimized crystal structure of Nd5Dy2Tm5.

Structure (CIF):
```
data_Nd5Dy2Tm5
_chemical_formula_sum 'Nd10 Dy4 Tm10'
_symmetry_space_group_name_H-M 'C 1 2/m 1'
_symmetry_Int_Tables_number 12
_cell_length_a 11.812
_cell_length_b 5.667
_cell_length_c 12.345
_cell_angle_alpha 90.00
_cell_angle_beta 109.44
_cell_angle_gamma 90.00
loop_
_symmetry_equiv_pos_as_xyz
'x,y,z'
'-x,-y,-z'
'-x,y,-z'
'x,-y,z'
'x+1/2,y+1/2,z'
'-x+1/2,-y+1/2,-z'
'-x+1/2,y+1/2,-z'
'x+1/2,-y+1/2,z'
loop_
_atom_site_label
_atom_site_type_symbol
_atom_site_fract_x
_atom_site_fract_y
_atom_site_fract_z
Nd1 Nd 0.000 0.000 0.000
Nd2 Nd 0.194 0.000 0.471
Nd3 Nd 0.247 0.500 0.778
Dy1 Dy 0.082 0.000 0.704
Tm1 Tm 0.000 0.500 0.500
Tm2 Tm 0.068 0.500 0.244
Tm3 Tm 0.190 0.500 0.030
```

Results
Energy = -108.50 eV/cell
Volume = 779.2 Å³ per cell
Magnetic moment = 0.00 μB/f.u.
ρ = 8.06 g/cm³

***

[3]
DFT (PBE) results for an optimized crystal structure of Nd4Dy4Tm3.

Structure (CIF):
```
data_Nd4Dy4Tm3
_chemical_formula_sum 'Nd8 Dy8 Tm6'
_symmetry_space_group_name_H-M 'I m m m'
_symmetry_Int_Tables_number 71
_symmetry_space_group_name_Hall '-I 2 2'
_cell_length_a 3.612
_cell_length_b 9.387
_cell_length_c 21.677
_cell_angle_alpha 90.00
_cell_angle_beta 90.00
_cell_angle_gamma 90.00
loop_
_atom_site_label
_atom_site_type_symbol
_atom_site_fract_x
_atom_site_fract_y
_atom_site_fract_z
Nd1 Nd 0.000 0.178 0.144
Dy1 Dy 0.000 0.318 0.000
Dy2 Dy 0.000 0.500 0.239
Tm1 Tm 0.000 0.000 0.393
Tm2 Tm 0.000 0.500 0.500
```

Results
Energy = -99.15 eV/cell
Volume = 735.1 Å³ per cell
Magnetic moment = 0.00 μB/f.u.
ρ = 7.83 g/cm³

***

[4]
DFT (PBE) results for an optimized crystal structure of Nd3Dy12Tm.

Structure (CIF):
```
data_Nd3Dy12Tm
_chemical_formula_sum 'Nd3 Dy12 Tm1'
_symmetry_space_group_name_H-M 'P 4/m m m'
_symmetry_Int_Tables_number 123
_symmetry_space_group_name_Hall '-P 4 2'
_cell_length_a 5.041
_cell_length_b 5.041
_cell_length_c 20.155
_cell_angle_alpha 90.00
_cell_angle_beta 90.00
_cell_angle_gamma 90.00
loop_
_atom_site_label
_atom_site_type_symbol
_atom_site_fract_x
_atom_site_fract_y
_atom_site_fract_z
Nd1 Nd 0.000 0.000 0.000
Nd2 Nd 0.000 0.000 0.251
Dy1 Dy 0.000 0.500 0.126
Dy2 Dy 0.000 0.500 0.377
Dy3 Dy 0.500 0.500 0.000
Dy4 Dy 0.500 0.500 0.252
Dy5 Dy 0.500 0.500 0.500
Tm1 Tm 0.000 0.000 0.500
```

Results
Energy = -73.68 eV/cell
Volume = 512.1 Å³ per cell
Magnetic moment = 0.00 μB/f.u.
ρ = 8.27 g/cm³

***

[5]
DFT (PBE) results for an optimized crystal structure of Nd6Dy2YTm3.

Structure (CIF):
```
data_Nd6Dy2YTm3
_chemical_formula_sum 'Nd12 Dy4 Y2 Tm6'
_symmetry_space_group_name_H-M 'C 1 2/m 1'
_symmetry_Int_Tables_number 12
_cell_length_a 6.260
_cell_length_b 10.839
_cell_length_c 11.801
_cell_angle_alpha 90.00
_cell_angle_beta 100.15
_cell_angle_gamma 90.00
loop_
_symmetry_equiv_pos_as_xyz
'x,y,z'
'-x,-y,-z'
'-x,y,-z'
'x,-y,z'
'x+1/2,y+1/2,z'
'-x+1/2,-y+1/2,-z'
'-x+1/2,y+1/2,-z'
'x+1/2,-y+1/2,z'
loop_
_atom_site_label
_atom_site_type_symbol
_atom_site_fract_x
_atom_site_fract_y
_atom_site_fract_z
Nd1 Nd 0.249 0.167 0.248
Nd2 Nd 0.250 0.000 0.752
Dy1 Dy 0.000 0.167 0.500
Y1 Y 0.000 0.500 0.500
Tm1 Tm 0.000 0.000 0.000
Tm2 Tm 0.000 0.333 0.000
```

Results
Energy = -115.07 eV/cell
Volume = 788.2 Å³ per cell
Magnetic moment = 0.00 μB/f.u.
ρ = 7.53 g/cm³

***

[6]
DFT (PBE) results for an optimized crystal structure of Nd2Dy3Y6Tm.

Structure (CIF):
```
data_Nd2Dy3Y6Tm
_chemical_formula_sum 'Nd4 Dy6 Y12 Tm2'
_symmetry_space_group_name_H-M 'C 1 2/m 1'
_symmetry_Int_Tables_number 12
_cell_length_a 6.193
_cell_length_b 10.719
_cell_length_c 11.844
_cell_angle_alpha 90.00
_cell_angle_beta 99.99
_cell_angle_gamma 90.00
loop_
_symmetry_equiv_pos_as_xyz
'x,y,z'
'-x,-y,-z'
'-x,y,-z'
'x,-y,z'
'x+1/2,y+1/2,z'
'-x+1/2,-y+1/2,-z'
'-x+1/2,y+1/2,-z'
'x+1/2,-y+1/2,z'
loop_
_atom_site_label
_atom_site_type_symbol
_atom_site_fract_x
_atom_site_fract_y
_atom_site_fract_z
Nd1 Nd 0.000 0.167 0.000
Dy1 Dy 0.000 0.000 0.500
Dy2 Dy 0.000 0.334 0.500
Y1 Y 0.248 0.500 0.748
Y2 Y 0.250 0.166 0.748
Tm1 Tm 0.000 0.500 0.000
```

Results
Energy = -132.75 eV/cell
Volume = 774.3 Å³ per cell
Magnetic moment = 0.00 μB/f.u.
ρ = 6.34 g/cm³

***

[7]
DFT (PBE) results for an optimized crystal structure of NdDyY3Tm.

Structure (CIF):
```
data_NdDyY3Tm
_chemical_formula_sum 'Nd4 Dy4 Y12 Tm4'
_symmetry_space_group_name_H-M 'C m c m'
_symmetry_Int_Tables_number 63
_symmetry_space_group_name_Hall '-C 2c 2'
_cell_length_a 5.049
_cell_length_b 15.158
_cell_length_c 10.100
_cell_angle_alpha 90.00
_cell_angle_beta 90.00
_cell_angle_gamma 90.00
loop_
_atom_site_label
_atom_site_type_symbol
_atom_site_fract_x
_atom_site_fract_y
_atom_site_fract_z
Nd1 Nd 0.000 0.000 0.000
Dy1 Dy 0.000 0.499 0.250
Y1 Y 0.000 0.167 0.250
Y2 Y 0.000 0.333 0.000
Tm1 Tm 0.000 0.166 0.750
```

Results
Energy = -132.37 eV/cell
Volume = 773.0 Å³ per cell
Magnetic moment = 0.00 μB/f.u.
ρ = 6.38 g/cm³

***

[8]
DFT (PBE) results for an optimized crystal structure of NdDy2YTm.

Structure (CIF):
```
data_NdDy2YTm
_chemical_formula_sum 'Nd4 Dy8 Y4 Tm4'
_symmetry_space_group_name_H-M 'C m c m'
_symmetry_Int_Tables_number 63
_symmetry_space_group_name_Hall '-C 2c 2'
_cell_length_a 8.402
_cell_length_b 11.469
_cell_length_c 7.216
_cell_angle_alpha 90.00
_cell_angle_beta 90.00
_cell_angle_gamma 90.00
loop_
_atom_site_label
_atom_site_type_symbol
_atom_site_fract_x
_atom_site_fract_y
_atom_site_fract_z
Nd1 Nd 0.000 0.227 0.250
Dy1 Dy 0.189 0.000 0.000
Y1 Y 0.000 0.500 0.250
Tm1 Tm 0.000 0.221 0.750
```

Results
Energy = -91.63 eV/cell
Volume = 695.4 Å³ per cell
Magnetic moment = 0.00 μB/f.u.
ρ = 6.94 g/cm³

***

[9]
DFT (PBE) results for an optimized crystal structure of Nd6DyY3Tm2.

Structure (CIF):
```
data_Nd6DyY3Tm2
_chemical_formula_sum 'Nd12 Dy2 Y6 Tm4'
_symmetry_space_group_name_H-M 'C 1 2/m 1'
_symmetry_Int_Tables_number 12
_cell_length_a 6.272
_cell_length_b 10.863
_cell_length_c 11.841
_cell_angle_alpha 90.00
_cell_angle_beta 100.15
_cell_angle_gamma 90.00
loop_
_symmetry_equiv_pos_as_xyz
'x,y,z'
'-x,-y,-z'
'-x,y,-z'
'x,-y,z'
'x+1/2,y+1/2,z'
'-x+1/2,-y+1/2,-z'
'-x+1/2,y+1/2,-z'
'x+1/2,-y+1/2,z'
loop_
_atom_site_label
_atom_site_type_symbol
_atom_site_fract_x
_atom_site_fract_y
_atom_site_fract_z
Nd1 Nd 0.249 0.000 0.248
Nd2 Nd 0.250 0.167 0.752
Dy1 Dy 0.000 0.500 0.000
Y1 Y 0.000 0.000 0.500
Y2 Y 0.000 0.333 0.500
Tm1 Tm 0.000 0.167 0.000
```

Results
Energy = -122.82 eV/cell
Volume = 794.2 Å³ per cell
Magnetic moment = 0.00 μB/f.u.
ρ = 6.83 g/cm³

***

[10]
DFT (PBE) results for an optimized crystal structure of Nd2DyYTm6.

Structure (CIF):
```
data_Nd2DyYTm6
_chemical_formula_sum 'Nd8 Dy4 Y4 Tm24'
_symmetry_space_group_name_H-M 'C 1 2/c 1'
_symmetry_Int_Tables_number 15
_cell_length_a 8.940
_cell_length_b 14.976
_cell_length_c 9.613
_cell_angle_alpha 90.00
_cell_angle_beta 98.98
_cell_angle_gamma 90.00
loop_
_symmetry_equiv_pos_as_xyz
'x,y,z'
'-x,-y,-z'
'-x,y,-z+1/2'
'x,-y,z+1/2'
'x+1/2,y+1/2,z'
'-x+1/2,-y+1/2,-z'
'-x+1/2,y+1/2,-z+1/2'
'x+1/2,-y+1/2,z+1/2'
loop_
_atom_site_label
_atom_site_type_symbol
_atom_site_fract_x
_atom_site_fract_y
_atom_site_fract_z
Nd1 Nd 0.246 0.053 0.043
Dy1 Dy 0.000 0.407 0.250
Y1 Y 0.000 0.018 0.750
Tm1 Tm 0.065 0.192 0.443
Tm2 Tm 0.104 0.394 0.619
Tm3 Tm 0.200 0.224 0.813
```

Results
Energy = -185.03 eV/cell
Volume = 1271.3 Å³ per cell
Magnetic moment = 0.00 μB/f.u.
ρ = 8.12 g/cm³

***

[11]
DFT (PBE) results for an optimized crystal structure of NdDy3YTm.

Structure (CIF):
```
data_NdDy3YTm
_chemical_formula_sum 'Nd2 Dy6 Y2 Tm2'
_symmetry_space_group_name_H-M 'P 1 21/m 1'
_symmetry_Int_Tables_number 11
_cell_length_a 9.545
_cell_length_b 3.596
_cell_length_c 11.945
_cell_angle_alpha 90.00
_cell_angle_beta 110.28
_cell_angle_gamma 90.00
loop_
_symmetry_equiv_pos_as_xyz
'x,y,z'
'-x,-y,-z'
'-x,y+1/2,-z'
'x,-y+1/2,z'
loop_
_atom_site_label
_atom_site_type_symbol
_atom_site_fract_x
_atom_site_fract_y
_atom_site_fract_z
Nd1 Nd 0.128 0.250 0.128
Dy1 Dy 0.070 0.250 0.405
Dy2 Dy 0.320 0.750 0.652
Dy3 Dy 0.433 0.750 0.098
Y1 Y 0.183 0.250 0.845
Tm1 Tm 0.378 0.750 0.378
```

Results
Energy = -59.00 eV/cell
Volume = 384.6 Å³ per cell
Magnetic moment = 0.00 μB/f.u.
ρ = 7.68 g/cm³

***

[12]
DFT (PBE) results for an optimized crystal structure of NdDy2Y3Tm6.

Structure (CIF):
```
data_NdDy2Y3Tm6
_chemical_formula_sum 'Nd2 Dy4 Y6 Tm12'
_symmetry_space_group_name_H-M 'C 1 2/m 1'
_symmetry_Int_Tables_number 12
_cell_length_a 6.127
_cell_length_b 10.600
_cell_length_c 11.696
_cell_angle_alpha 90.00
_cell_angle_beta 100.03
_cell_angle_gamma 90.00
loop_
_symmetry_equiv_pos_as_xyz
'x,y,z'
'-x,-y,-z'
'-x,y,-z'
'x,-y,z'
'x+1/2,y+1/2,z'
'-x+1/2,-y+1/2,-z'
'-x+1/2,y+1/2,-z'
'x+1/2,-y+1/2,z'
loop_
_atom_site_label
_atom_site_type_symbol
_atom_site_fract_x
_atom_site_fract_y
_atom_site_fract_z
Nd1 Nd 0.000 0.000 0.000
Dy1 Dy 0.000 0.333 0.000
Y1 Y 0.000 0.167 0.500
Y2 Y 0.000 0.500 0.500
Tm1 Tm 0.249 0.333 0.750
Tm2 Tm 0.250 0.000 0.750
```

Results
Energy = -119.77 eV/cell
Volume = 748.0 Å³ per cell
Magnetic moment = 0.00 μB/f.u.
ρ = 7.77 g/cm³